The following is a DFT calculation (PBEsol) of a geometry-optimized Y2GaCo2 structure.

Calculated values
The calculation puts the calculated formation energy at -1.672 eV/f.u. For the density of states at the Fermi level, the calculation gives 4.39 states/eV/f.u. The space group is P4/mbm. As for the total energy: -6.8261 eV per atom. For the size of the total moment, the calculation gives 0.109 μB/atom.

a b c (Å): 3.9526 6.6784 6.6784
angles (deg): 90.00 90.00 90.00
Atoms (fractional coordinates):
Y: 0.5000 0.1828 0.6828
Y: 0.5000 0.6828 0.8172
Y: 0.5000 0.8172 0.3172
Y: 0.5000 0.3172 0.1828
Co: 0.0000 0.3829 0.8829
Co: 0.0000 0.8829 0.6171
Co: 0.0000 0.6171 0.1171
Co: 0.0000 0.1171 0.3829
Ga: 0.0000 0.0000 0.0000
Ga: 0.0000 0.5000 0.5000

=====

The following is a DFT calculation (PBEsol) of a geometry-optimized RbBF4 structure.

Calculated values
For the density of states at the Fermi level, the calculation gives 0.00 states/eV/f.u. The calculation puts the uncorrected formation energy at -3050 meV per atom. The space group is Pnma. As for the total energy: -5.6754 eV per atom. For the size of the total moment, the calculation gives 0.010 μB/atom.

a b c (Å): 5.5037 7.2498 9.0641
angles (deg): 90.00 90.00 90.00
Atoms (fractional coordinates):
Rb: 0.2500 0.1580 0.8126
Rb: 0.7500 0.8420 0.1874
Rb: 0.7500 0.6580 0.6874
Rb: 0.2500 0.3420 0.3126
B: 0.2500 0.6958 0.9434
B: 0.2500 0.8042 0.4434
B: 0.7500 0.1958 0.5566
B: 0.7500 0.3042 0.0566
F: 0.5406 0.3070 0.5767
F: 0.9594 0.1930 0.0767
F: 0.4594 0.8070 0.9233
F: 0.0406 0.6930 0.4233
F: 0.2500 0.6236 0.0872
F: 0.7500 0.3764 0.9128
F: 0.7500 0.1236 0.4128
F: 0.2500 0.8764 0.5872
F: 0.2500 0.5538 0.8373
F: 0.7500 0.4462 0.1627
F: 0.7500 0.0538 0.6627
F: 0.2500 0.9462 0.3373
F: 0.0406 0.8070 0.9233
F: 0.5406 0.1930 0.0767
F: 0.9594 0.3070 0.5767
F: 0.4594 0.6930 0.4233